Entry 1:
This record from Alexandria describes an optimized crystal structure of LiTePO2. The functional is PBE.

```
data_LiTePO2
_chemical_formula_sum 'Li1 Te1 P1 O2'
_space_group_name_H-M_alt 'P 4/m m m'
_space_group_IT_number 123
_space_group_name_Hall '-P 4 2'
_cell_length_a 3.9781
_cell_length_b 3.9781
_cell_length_c 5.3494
_cell_angle_alpha 90.00
_cell_angle_beta 90.00
_cell_angle_gamma 90.00
loop_
_atom_site_label
_atom_site_type_symbol
_atom_site_fract_x
_atom_site_fract_y
_atom_site_fract_z
_atom_site_occupancy
Li1 Li 0.0000 0.0000 0.0000 1
Te1 Te 0.5000 0.5000 0.5000 1
P1 P 0.5000 0.5000 0.0000 1
O1 O 0.0000 0.5000 0.5000 1
```

## Properties
Electronic total energy (eV per cell): -21.9

---

Entry 2:
This record from Alexandria describes an optimized crystal structure of LiTiP2O7. The functional is PBE.

```
data_LiTiP2O7
_chemical_formula_sum 'Li2 Ti2 P4 O14'
_space_group_name_H-M_alt 'C 1 2 1'
_space_group_IT_number 5
_space_group_name_Hall 'C 2y'
_cell_length_a 6.6170
_cell_length_b 8.3287
_cell_length_c 4.5833
_cell_angle_alpha 90.00
_cell_angle_beta 103.42
_cell_angle_gamma 90.00
loop_
_atom_site_label
_atom_site_type_symbol
_atom_site_fract_x
_atom_site_fract_y
_atom_site_fract_z
_atom_site_occupancy
Li1 Li 0.0000 0.0000 0.0000 1
Ti1 Ti 0.0000 0.6241 0.0000 1
P1 P 0.2066 0.2892 0.4111 1
O1 O 0.0000 0.2216 0.5000 1
O2 O 0.1304 0.8054 0.2909 1
O3 O 0.1653 0.4515 0.2569 1
O4 O 0.2495 0.1562 0.1995 1
```

## Properties
Electronic total energy (eV per cell): -163.4

---

Entry 3:
This record from Alexandria describes an optimized crystal structure of LiTiP2O7. The functional is PBE.

```
data_LiTiP2O7
_chemical_formula_sum 'Li4 Ti4 P8 O28'
_space_group_name_H-M_alt 'P 1 21/c 1'
_space_group_IT_number 14
_space_group_name_Hall '-P 2ybc'
_cell_length_a 6.8039
_cell_length_b 8.2871
_cell_length_c 9.4737
_cell_angle_alpha 90.00
_cell_angle_beta 106.91
_cell_angle_gamma 90.00
loop_
_atom_site_label
_atom_site_type_symbol
_atom_site_fract_x
_atom_site_fract_y
_atom_site_fract_z
_atom_site_occupancy
Li1 Li 0.2138 0.1071 0.0589 1
Ti1 Ti 0.2805 0.7222 0.9969 1
P1 P 0.0505 0.5342 0.2145 1
P2 P 0.4585 0.0855 0.7069 1
O1 O 0.0694 0.6717 0.1121 1
O2 O 0.0701 0.5883 0.3743 1
O3 O 0.1454 0.5643 0.8469 1
O4 O 0.2296 0.1004 0.7261 1
O5 O 0.3942 0.5903 0.6344 1
O6 O 0.4738 0.5764 0.1361 1
O7 O 0.4777 0.2312 0.6120 1
```

## Properties
Electronic total energy (eV per cell): -326.0

---

Entry 4:
This record from Alexandria describes an optimized crystal structure of LiTi2P3O12. The functional is PBE.

```
data_LiTi2P3O12
_chemical_formula_sum 'Li2 Ti4 P6 O24'
_space_group_name_H-M_alt 'P -1'
_space_group_IT_number 2
_space_group_name_Hall '-P 1'
_cell_length_a 8.5196
_cell_length_b 8.5605
_cell_length_c 8.8740
_cell_angle_alpha 118.38
_cell_angle_beta 90.30
_cell_angle_gamma 119.70
loop_
_atom_site_label
_atom_site_type_symbol
_atom_site_fract_x
_atom_site_fract_y
_atom_site_fract_z
_atom_site_occupancy
Li1 Li 0.2450 0.1981 0.3910 1
Ti1 Ti 0.1420 0.7815 0.4265 1
Ti2 Ti 0.3642 0.2117 0.0653 1
P1 P 0.0292 0.2754 0.2512 1
P2 P 0.2510 0.2832 0.7427 1
P3 P 0.4633 0.9941 0.2459 1
O1 O 0.0195 0.2395 0.4081 1
O2 O 0.0476 0.4859 0.3080 1
O3 O 0.0632 0.2697 0.7299 1
O4 O 0.1450 0.9117 0.9169 1
O5 O 0.2126 0.2921 0.2150 1
O6 O 0.2344 0.1031 0.5618 1
O7 O 0.2960 0.2699 0.9028 1
O8 O 0.3048 0.8386 0.2859 1
O9 O 0.3446 0.8646 0.6069 1
O10 O 0.4093 0.1418 0.2444 1
O11 O 0.4141 0.4967 0.7706 1
O12 O 0.4755 0.8596 0.0602 1
```

## Properties
Electronic total energy (eV per cell): -278.6

---

Entry 5:
This record from Alexandria describes an optimized crystal structure of Li3TiP2O8. The functional is PBE.

```
data_Li3TiP2O8
_chemical_formula_sum 'Li12 Ti4 P8 O32'
_space_group_name_H-M_alt 'P 1 21/c 1'
_space_group_IT_number 14
_space_group_name_Hall '-P 2ybc'
_cell_length_a 5.0191
_cell_length_b 18.0253
_cell_length_c 7.8496
_cell_angle_alpha 90.00
_cell_angle_beta 126.42
_cell_angle_gamma 90.00
loop_
_atom_site_label
_atom_site_type_symbol
_atom_site_fract_x
_atom_site_fract_y
_atom_site_fract_z
_atom_site_occupancy
Li1 Li 0.0103 0.0605 0.2141 1
Li2 Li 0.2810 0.1154 0.9977 1
Li3 Li 0.3614 0.7003 0.6819 1
Ti1 Ti 0.1749 0.6265 0.9821 1
P1 P 0.1311 0.2158 0.2978 1
P2 P 0.4868 0.5362 0.7692 1
O1 O 0.0521 0.1728 0.1055 1
O2 O 0.1431 0.6989 0.1701 1
O3 O 0.1566 0.1985 0.7723 1
O4 O 0.1829 0.0663 0.5302 1
O5 O 0.1856 0.5609 0.7705 1
O6 O 0.4297 0.5647 0.5681 1
O7 O 0.4764 0.1926 0.5005 1
O8 O 0.4861 0.0512 0.2773 1
```

## Properties
Electronic total energy (eV per cell): -391.4

---

Entry 6:
This record from Alexandria describes an optimized crystal structure of Li3TiP2O8. The functional is PBE.

```
data_Li3TiP2O8
_chemical_formula_sum 'Li6 Ti2 P4 O16'
_space_group_name_H-M_alt 'P 1 21/c 1'
_space_group_IT_number 14
_space_group_name_Hall '-P 2ybc'
_cell_length_a 4.9978
_cell_length_b 8.8863
_cell_length_c 7.8313
_cell_angle_alpha 90.00
_cell_angle_beta 124.50
_cell_angle_gamma 90.00
loop_
_atom_site_label
_atom_site_type_symbol
_atom_site_fract_x
_atom_site_fract_y
_atom_site_fract_z
_atom_site_occupancy
Li1 Li 0.0000 0.0000 0.0000 1
Li2 Li 0.3252 0.1362 0.8156 1
Ti1 Ti 0.5000 0.0000 0.5000 1
P1 P 0.1863 0.6817 0.2138 1
O1 O 0.1483 0.1359 0.4852 1
O2 O 0.1740 0.6446 0.7437 1
O3 O 0.2526 0.5954 0.4021 1
O4 O 0.4642 0.6455 0.1827 1
```

## Properties
Electronic total energy (eV per cell): -195.7

---

Entry 7:
This record from Alexandria describes an optimized crystal structure of Li3Ti2P3O12. The functional is PBE.

```
data_Li3Ti2P3O12
_chemical_formula_sum 'Li6 Ti4 P6 O24'
_space_group_name_H-M_alt 'P 1'
_space_group_IT_number 1
_space_group_name_Hall 'P 1'
_cell_length_a 8.4632
_cell_length_b 8.4803
_cell_length_c 9.1128
_cell_angle_alpha 62.49
_cell_angle_beta 62.34
_cell_angle_gamma 60.15
loop_
_atom_site_label
_atom_site_type_symbol
_atom_site_fract_x
_atom_site_fract_y
_atom_site_fract_z
_atom_site_occupancy
Li1 Li 0.0000 0.0000 0.0000 1
Li2 Li 0.0598 0.8068 0.7199 1
Li3 Li 0.2482 0.3997 0.0031 1
Li4 Li 0.4829 0.1674 0.5040 1
Li5 Li 0.5883 0.6599 0.0008 1
Li6 Li 0.6591 0.4582 0.7202 1
Ti1 Ti 0.1772 0.5849 0.3006 1
Ti2 Ti 0.4661 0.8763 0.4219 1
Ti3 Ti 0.6716 0.0760 0.8150 1
Ti4 Ti 0.9761 0.3820 0.9081 1
P1 P 0.0737 0.1876 0.6163 1
P2 P 0.2847 0.9828 0.1152 1
P3 P 0.3716 0.4786 0.6115 1
P4 P 0.5730 0.2766 0.1102 1
P5 P 0.7838 0.7693 0.6121 1
P6 P 0.8685 0.6935 0.1069 1
O1 O 0.0692 0.5894 0.1333 1
O2 O 0.0989 0.2005 0.7705 1
O3 O 0.1387 0.3344 0.4494 1
O4 O 0.1644 0.1964 0.0552 1
O5 O 0.1795 0.5195 0.7636 1
O6 O 0.1888 0.8581 0.1310 1
O7 O 0.1998 0.9823 0.6028 1
O8 O 0.3096 0.9336 0.2905 1
O9 O 0.3357 0.5233 0.4448 1
O10 O 0.4478 0.4814 0.1270 1
O11 O 0.4707 0.6028 0.5914 1
O12 O 0.4891 0.9337 0.9795 1
O13 O 0.4995 0.2636 0.6596 1
O14 O 0.5145 0.1309 0.2836 1
O15 O 0.5339 0.2718 0.9597 1
O16 O 0.5907 0.8779 0.5724 1
O17 O 0.7105 0.7404 0.2690 1
O18 O 0.7702 0.5826 0.7675 1
O19 O 0.7872 0.2386 0.0613 1
O20 O 0.8217 0.8925 0.6657 1
O21 O 0.8356 0.5674 0.0503 1
O22 O 0.8594 0.2216 0.6643 1
O23 O 0.8771 0.8820 0.9518 1
O24 O 0.9469 0.7171 0.4518 1
```

## Properties
Electronic total energy (eV per cell): -292.5

---

Entry 8:
This record from Alexandria describes an optimized crystal structure of LiTiP2O. The functional is PBE.

```
data_LiTiP2O
_chemical_formula_sum 'Li1 Ti1 P2 O1'
_space_group_name_H-M_alt 'P 4/m m m'
_space_group_IT_number 123
_space_group_name_Hall '-P 4 2'
_cell_length_a 4.9786
_cell_length_b 4.9786
_cell_length_c 3.6828
_cell_angle_alpha 90.00
_cell_angle_beta 90.00
_cell_angle_gamma 90.00
loop_
_atom_site_label
_atom_site_type_symbol
_atom_site_fract_x
_atom_site_fract_y
_atom_site_fract_z
_atom_site_occupancy
Li1 Li 0.0000 0.0000 0.0000 1
Ti1 Ti 0.5000 0.5000 0.5000 1
P1 P 0.0000 0.5000 0.5000 1
O1 O 0.5000 0.5000 0.0000 1
```

## Properties
Electronic total energy (eV per cell): -28.6

---

Entry 9:
This record from Alexandria describes an optimized crystal structure of LiTiPO2. The functional is PBE.

```
data_LiTiPO2
_chemical_formula_sum 'Li1 Ti1 P1 O2'
_space_group_name_H-M_alt 'P 4/m m m'
_space_group_IT_number 123
_space_group_name_Hall '-P 4 2'
_cell_length_a 3.7705
_cell_length_b 3.7705
_cell_length_c 5.3626
_cell_angle_alpha 90.00
_cell_angle_beta 90.00
_cell_angle_gamma 90.00
loop_
_atom_site_label
_atom_site_type_symbol
_atom_site_fract_x
_atom_site_fract_y
_atom_site_fract_z
_atom_site_occupancy
Li1 Li 0.0000 0.0000 0.0000 1
Ti1 Ti 0.5000 0.5000 0.5000 1
P1 P 0.5000 0.5000 0.0000 1
O1 O 0.0000 0.5000 0.5000 1
```

## Properties
Electronic total energy (eV per cell): -31.7

---

Entry 10:
This record from Alexandria describes an optimized crystal structure of Li3Ti2P3O12. The functional is PBE.

```
data_Li3Ti2P3O12
_chemical_formula_sum 'Li12 Ti8 P12 O48'
_space_group_name_H-M_alt 'C 1 2/c 1'
_space_group_IT_number 15
_space_group_name_Hall '-C 2yc'
_cell_length_a 14.9689
_cell_length_b 8.8798
_cell_length_c 8.5268
_cell_angle_alpha 90.00
_cell_angle_beta 122.18
_cell_angle_gamma 90.00
loop_
_atom_site_label
_atom_site_type_symbol
_atom_site_fract_x
_atom_site_fract_y
_atom_site_fract_z
_atom_site_occupancy
Li1 Li 0.0000 0.1440 0.2500 1
Li2 Li 0.1878 0.3800 0.3074 1
Ti1 Ti 0.1091 0.2465 0.6422 1
P1 P 0.0000 0.4537 0.2500 1
P2 P 0.1395 0.1162 0.0506 1
O1 O 0.0395 0.1566 0.0521 1
O2 O 0.0641 0.4552 0.6900 1
O3 O 0.0856 0.3455 0.4028 1
O4 O 0.1233 0.1593 0.8620 1
O5 O 0.1639 0.0556 0.5751 1
O6 O 0.2318 0.2031 0.2143 1
```

## Properties
Electronic total energy (eV per cell): -584.5

---

Entry 11:
This record from Alexandria describes an optimized crystal structure of LiTi2P3O12. The functional is PBE.

```
data_LiTi2P3O12
_chemical_formula_sum 'Li4 Ti8 P12 O48'
_space_group_name_H-M_alt 'P 1 21/c 1'
_space_group_IT_number 14
_space_group_name_Hall '-P 2ybc'
_cell_length_a 8.7229
_cell_length_b 12.0544
_cell_length_c 8.6493
_cell_angle_alpha 90.00
_cell_angle_beta 90.10
_cell_angle_gamma 90.00
loop_
_atom_site_label
_atom_site_type_symbol
_atom_site_fract_x
_atom_site_fract_y
_atom_site_fract_z
_atom_site_occupancy
Li1 Li 0.2243 0.1828 0.2847 1
Ti1 Ti 0.0281 0.1145 0.7519 1
Ti2 Ti 0.4561 0.6171 0.2523 1
P1 P 0.1066 0.6445 0.1045 1
P2 P 0.2519 0.0012 0.0351 1
P3 P 0.3899 0.1465 0.6074 1
O1 O 0.0094 0.2262 0.3217 1
O2 O 0.0605 0.5277 0.1618 1
O3 O 0.0950 0.6523 0.9278 1
O4 O 0.1443 0.5752 0.6294 1
O5 O 0.1590 0.0776 0.9285 1
O6 O 0.2233 0.1773 0.6547 1
O7 O 0.2728 0.6694 0.1546 1
O8 O 0.3389 0.0744 0.1520 1
O9 O 0.3602 0.5741 0.4415 1
O10 O 0.3995 0.1514 0.4289 1
O11 O 0.4318 0.0301 0.6668 1
O12 O 0.5000 0.2332 0.6784 1
```

## Properties
Electronic total energy (eV per cell): -557.4